The following is a PBE-GGA calculation of an optimized crystal structure of Rb2CdPBr6, from Alexandria.

Cell: 7.771 7.771 7.771 Å, 119.88 119.88 90.21°
Fractional coordinates of all 10 atoms:
1 Rb 0.250 0.750 0.500
2 Rb 0.750 0.250 0.500
3 Cd 0.000 0.000 0.000
4 P 0.500 0.500 0.000
5 Br 0.259 0.259 0.000
6 Br 0.261 0.261 0.522
7 Br 0.261 0.739 0.000
8 Br 0.739 0.261 0.000
9 Br 0.739 0.739 0.478
10 Br 0.741 0.741 0.000

## Properties
Spin magnetization: 0.0 Bohr magnetons per cell
E_tot: -2.741 eV/atom

The following is a PBE-GGA calculation of an optimized crystal structure of Cd4PSBr2, from Alexandria.

Cell: 8.186 8.186 8.186 Å, 119.97 119.61 90.36°
Fractional coordinates of all 16 atoms:
1 Cd 0.258 0.231 0.027
2 Cd 0.261 0.223 0.461
3 Cd 0.261 0.800 0.039
4 Cd 0.296 0.769 0.527
5 Cd 0.704 0.231 0.473
6 Cd 0.739 0.200 0.961
7 Cd 0.739 0.777 0.539
8 Cd 0.742 0.769 0.973
9 P 0.000 0.000 0.000
10 P 0.500 0.000 0.500
11 S 0.500 0.000 0.000
12 S 0.500 0.500 0.500
13 Br 0.000 0.000 0.500
14 Br 0.000 0.500 0.000
15 Br 0.000 0.500 0.500
16 Br 0.500 0.500 0.000

## Properties
Spin magnetization: 0.0 Bohr magnetons per cell
E_tot: -2.433 eV/atom

The following is a PBE-GGA calculation of an optimized crystal structure of CdP2SBr, from Alexandria.

Cell: 5.171 5.171 4.859 Å, 90.00 90.00 90.00°
Fractional coordinates of all 5 atoms:
1 Cd 0.000 0.000 0.000
2 P 0.000 0.500 0.000
3 P 0.500 0.000 0.000
4 S 0.000 0.000 0.500
5 Br 0.500 0.500 0.500

## Properties
Spin magnetization: 1.6 Bohr magnetons per cell
Relative energy among the computed polymorphs: 0 meV/atom